(1)
Here is an optimized crystal structure of MgHgPd from Alexandria via LeMat-Bulk. Energies are from PBE-GGA.

Lattice parameters (Å, degrees): 4.008 5.156 5.978 74.58 89.61 67.17
Space group P-1 (No. 2)
Asymmetric unit:
Mg 0.144 0.212 0.312 x2
Hg 0.172 0.159 0.814 x2
Pd 0.500 0.500 0.000 x1
Pd 0.500 0.500 0.500 x1

---

(2)
Here is an optimized crystal structure of Mg4HgPd3 from Alexandria via LeMat-Bulk. Energies are from PBE-GGA.

Lattice parameters (Å, degrees): 4.615 4.615 6.461 90.00 90.00 90.00
Space group P4/mmm (No. 123)
Asymmetric unit:
Mg 0.000 0.500 0.237 x4
Hg 0.000 0.000 0.500 x1
Pd 0.000 0.000 0.000 x1
Pd 0.500 0.500 0.000 x1
Pd 0.500 0.500 0.500 x1

---

(3)
Here is an optimized crystal structure of MgHg2Pd from Alexandria via LeMat-Bulk. Energies are from PBE-GGA.

Lattice parameters (Å, degrees): 3.554 3.554 6.087 90.00 90.00 90.00
Space group P4/mmm (No. 123)
Asymmetric unit:
Mg 0.000 0.000 0.000 x1
Hg 0.500 0.500 0.257 x2
Pd 0.000 0.000 0.500 x1

---

(4)
Here is an optimized crystal structure of Mg5HgPd4 from Alexandria via LeMat-Bulk. Energies are from PBE-GGA.

Lattice parameters (Å, degrees): 3.252 3.252 16.155 90.00 90.00 90.00
Space group P4/mmm (No. 123)
Asymmetric unit:
Mg 0.000 0.000 0.000 x1
Mg 0.000 0.000 0.191 x2
Mg 0.000 0.000 0.382 x2
Hg 0.500 0.500 0.500 x1
Pd 0.500 0.500 0.095 x2
Pd 0.500 0.500 0.286 x2

---

(5)
Here is an optimized crystal structure of MgHg2Pd3 from Alexandria via LeMat-Bulk. Energies are from PBE-GGA.

Lattice parameters (Å, degrees): 4.602 13.889 6.549 90.00 90.00 90.00
Space group Cmmm (No. 65)
Asymmetric unit:
Mg 0.000 0.164 0.000 x4
Hg 0.000 0.167 0.500 x4
Hg 0.000 0.500 0.000 x2
Hg 0.000 0.500 0.500 x2
Pd 0.000 0.000 0.247 x4
Pd 0.000 0.328 0.234 x8

Computed properties:
For the energy above the most stable polymorph in this dataset, the calculation gives 0.000 eV per atom.

---

(6)
Here is an optimized crystal structure of Mg6Hg2Pd from Alexandria via LeMat-Bulk. Energies are from PBE-GGA.

Lattice parameters (Å, degrees): 14.702 6.685 4.521 90.00 107.69 90.00
Space group C2/m (No. 12)
Asymmetric unit:
Mg 0.000 0.231 0.000 x4
Mg 0.160 0.235 0.659 x8
Hg 0.165 0.500 0.165 x4
Pd 0.000 0.000 0.500 x2

Computed properties:
For the energy above the most stable polymorph in this dataset, the calculation gives 0.109 eV per atom.

---

(7)
Here is an optimized crystal structure of MgHgPd from Alexandria via LeMat-Bulk. Energies are from PBE-GGA.

Lattice parameters (Å, degrees): 6.385 6.385 6.385 90.00 90.00 90.00
Space group F-43m (No. 216)
Asymmetric unit:
Mg 0.000 0.000 0.000 x4
Hg 0.000 0.000 0.500 x4
Pd 0.250 0.250 0.250 x4

---

(8)
Here is an optimized crystal structure of Mg3HgPd2 from Alexandria via LeMat-Bulk. Energies are from PBE-GGA.

Lattice parameters (Å, degrees): 3.231 3.231 10.214 90.00 90.00 90.00
Space group P4/mmm (No. 123)
Asymmetric unit:
Mg 0.000 0.000 0.000 x1
Mg 0.000 0.000 0.306 x2
Hg 0.500 0.500 0.500 x1
Pd 0.500 0.500 0.155 x2

---

(9)
Here is an optimized crystal structure of Mg2HgPd3 from Alexandria via LeMat-Bulk. Energies are from PBE-GGA.

Lattice parameters (Å, degrees): 3.089 3.089 10.512 90.00 90.00 90.00
Space group P4/mmm (No. 123)
Asymmetric unit:
Mg 0.000 0.000 0.160 x2
Hg 0.000 0.000 0.500 x1
Pd 0.500 0.500 0.000 x1
Pd 0.500 0.500 0.314 x2

Computed properties:
For the energy above the most stable polymorph in this dataset, the calculation gives 0.023 eV per atom.

---

(10)
Here is an optimized crystal structure of MgHg2Pd5 from Alexandria via LeMat-Bulk. Energies are from PBE-GGA.

Lattice parameters (Å, degrees): 4.638 4.638 12.556 90.00 90.00 90.00
Space group I4/mmm (No. 139)
Asymmetric unit:
Mg 0.000 0.000 0.000 x2
Hg 0.000 0.000 0.254 x4
Pd 0.000 0.000 0.500 x2
Pd 0.000 0.500 0.119 x8

---

(11)
Here is an optimized crystal structure of MgHg3Pd7 from Alexandria via LeMat-Bulk. Energies are from PBE-GGA.

Lattice parameters (Å, degrees): 9.354 9.521 5.120 90.00 115.57 90.00
Space group C2/m (No. 12)
Asymmetric unit:
Mg 0.000 0.000 0.000 x2
Hg 0.000 0.284 0.500 x4
Hg 0.000 0.500 0.000 x2
Pd 0.000 0.000 0.500 x2
Pd 0.170 0.252 0.169 x8
Pd 0.219 0.500 0.554 x4

---

(12)
Here is an optimized crystal structure of Mg3HgPd6 from Alexandria via LeMat-Bulk. Energies are from PBE-GGA.

Lattice parameters (Å, degrees): 9.696 13.276 5.386 90.00 90.00 90.00
Space group Cmc2_1 (No. 36)
Asymmetric unit:
Mg 0.000 0.106 0.000 x4
Mg 0.199 0.417 0.377 x8
Hg 0.000 0.321 0.968 x4
Pd 0.000 0.264 0.465 x4
Pd 0.000 0.480 0.657 x4
Pd 0.142 0.075 0.472 x8
Pd 0.245 0.234 0.192 x8

Computed properties:
For the energy above the most stable polymorph in this dataset, the calculation gives 0.174 eV per atom.

---

(13)
Here is an optimized crystal structure of Mg12HgPd6 from Alexandria via LeMat-Bulk. Energies are from PBE-GGA.

Lattice parameters (Å, degrees): 12.3977 12.3977 8.3114 90.00 90.00 120.00
Space group R-3 (No. 148, hexagonal axes)
Asymmetric unit:
Mg 0.0541 0.1882 0.2848 x18
Mg 0.0546 0.2580 0.9270 x18
Hg 0.0000 0.0000 0.0000 x3
Pd 0.0652 0.2491 0.5887 x18

---

(14)
Here is an optimized crystal structure of MgHg2Pd2 from Alexandria via LeMat-Bulk. Energies are from PBE-GGA.

Lattice parameters (Å, degrees): 6.982 6.982 3.948 90.00 90.00 90.00
Space group P4/mbm (No. 127)
Asymmetric unit:
Mg 0.000 0.000 0.000 x2
Hg 0.162 0.338 0.500 x4
Pd 0.141 0.641 0.000 x4

Computed properties:
For the energy above the most stable polymorph in this dataset, the calculation gives 0.000 eV per atom.

---

(15)
Here is an optimized crystal structure of Mg2Hg2Pd7 from Alexandria via LeMat-Bulk. Energies are from PBE-GGA.

Lattice parameters (Å, degrees): 7.365 11.638 6.867 90.00 121.20 90.00
Space group C2/m (No. 12)
Asymmetric unit:
Mg 0.000 0.204 0.000 x4
Hg 0.240 0.000 0.679 x4
Pd 0.000 0.500 0.500 x2
Pd 0.073 0.000 0.218 x4
Pd 0.149 0.384 0.912 x8

---

(16)
Here is an optimized crystal structure of MgHg2Pd from Alexandria via LeMat-Bulk. Energies are from PBE-GGA.

Lattice parameters (Å, degrees): 4.177 4.177 19.839 90.00 90.00 90.00
Space group I-42d (No. 122)
Asymmetric unit:
Mg 0.000 0.000 0.000 x4
Hg 0.242 0.250 0.625 x8
Pd 0.000 0.000 0.500 x4

---

(17)
Here is an optimized crystal structure of MgHg3Pd4 from Alexandria via LeMat-Bulk. Energies are from PBE-GGA.

Lattice parameters (Å, degrees): 15.800 4.295 4.295 90.00 105.63 90.00
Space group C2/m (No. 12)
Asymmetric unit:
Mg 0.000 0.000 0.000 x2
Hg 0.000 0.500 0.500 x2
Hg 0.250 0.000 0.250 x4
Pd 0.121 0.000 0.621 x4
Pd 0.121 0.500 0.121 x4

---

(18)
Here is an optimized crystal structure of MgHgPd from Alexandria via LeMat-Bulk. Energies are from PBE-GGA.

Lattice parameters (Å, degrees): 3.256 3.256 22.644 90.00 90.00 90.00
Space group I4/mmm (No. 139)
Asymmetric unit:
Mg 0.000 0.000 0.153 x4
Hg 0.000 0.000 0.436 x4
Pd 0.000 0.000 0.287 x4

---

(19)
Here is an optimized crystal structure of Mg3Hg3Pd2 from Alexandria via LeMat-Bulk. Energies are from PBE-GGA.

Lattice parameters (Å, degrees): 7.3672 7.3672 3.2943 90.00 90.00 120.00
Space group P-62m (No. 189)
Asymmetric unit:
Mg 0.0000 0.4156 0.0000 x3
Hg 0.0000 0.7643 0.5000 x3
Pd 0.3333 0.6667 0.5000 x2

---

(20)
Here is an optimized crystal structure of MgHg2Pd5 from Alexandria via LeMat-Bulk. Energies are from PBE-GGA.

Lattice parameters (Å, degrees): 7.400 8.511 5.640 90.00 130.76 90.00
Space group C2/m (No. 12)
Asymmetric unit:
Mg 0.000 0.000 0.000 x2
Hg 0.250 0.250 0.500 x4
Pd 0.000 0.000 0.500 x2
Pd 0.000 0.500 0.000 x2
Pd 0.000 0.500 0.500 x2
Pd 0.250 0.250 0.000 x4

---

(21)
Here is an optimized crystal structure of MgHg3Pd6 from Alexandria via LeMat-Bulk. Energies are from PBE-GGA.

Lattice parameters (Å, degrees): 9.175 15.766 4.915 90.00 90.00 90.00
Space group Cmc2_1 (No. 36)
Asymmetric unit:
Mg 0.000 0.220 0.000 x4
Hg 0.000 0.406 0.080 x4
Hg 0.164 0.094 0.660 x8
Pd 0.000 0.061 0.168 x4
Pd 0.000 0.291 0.503 x4
Pd 0.163 0.442 0.608 x8
Pd 0.246 0.215 0.289 x8

Computed properties:
For the energy above the most stable polymorph in this dataset, the calculation gives 0.134 eV per atom.

---

(22)
Here is an optimized crystal structure of Mg5Hg6Pd from Alexandria via LeMat-Bulk. Energies are from PBE-GGA.

Lattice parameters (Å, degrees): 4.705 7.388 14.158 90.00 90.00 90.00
Space group Immm (No. 71)
Asymmetric unit:
Mg 0.000 0.000 0.000 x2
Mg 0.000 0.000 0.344 x4
Mg 0.000 0.500 0.332 x4
Hg 0.000 0.249 0.167 x8
Hg 0.000 0.255 0.500 x4
Pd 0.000 0.500 0.000 x2

---

no.,formation enthalpy at 0 K (eV per atom),total energy (eV per atom)
1,-0.3874,-2.7504
2,-0.5926,-3.3750
3,-0.2129,-2.0607
4,-0.6406,-3.5452
5,-0.3637,-3.3265
6,-0.2252,-1.9323
7,-0.3076,-2.6707
8,-0.5747,-3.1533
9,-0.5528,-3.7311
10,-0.3211,-3.8414
11,-0.0627,-3.5945
12,-0.3607,-3.9850
13,-0.3753,-3.0382
14,-0.2868,-2.8036
15,-0.0212,-3.6705
16,-0.0993,-1.9471
17,-0.3346,-3.2435
18,-0.3394,-2.7025
19,-0.4170,-2.4264
20,-0.3230,-3.8433
21,-0.1501,-3.5158
22,-0.2128,-1.4609